# 1
The following is a GGA-PBE calculation of a geometry-optimized NdAsHRu structure, from the Alexandria database.

Its space group is P4/nmm (129). As for the total energy: -6.30 eV/atom. The theoretical density comes out at 8.14 g/cm3.

Lattice parameters (Å, degrees): 4.154 4.154 7.594 90.00 90.00 90.00
Positions (direct):
1 Nd 0.500 0.000 0.668
2 Nd 0.000 0.500 0.332
3 Ru 0.000 0.000 0.000
4 Ru 0.500 0.500 0.000
5 H 0.500 0.500 0.500
6 H 0.000 0.000 0.500
7 As 0.000 0.500 0.826
8 As 0.500 0.000 0.174

# 2
The following is a GGA-PBE calculation of a geometry-optimized CsNa3Au3 structure, from the Alexandria database.

Its space group is Pm-3n (223). The energy of formation is -12.5 kJ/mol of atoms. The theoretical density comes out at 4.89 g/cm3.

Lattice parameters (Å, degrees): 8.138 8.138 8.138 90.00 90.00 90.00
Positions (direct):
1 Na 0.500 0.250 0.000
2 Na 0.500 0.750 0.000
3 Na 0.750 0.000 0.500
4 Na 0.000 0.500 0.250
5 Na 0.000 0.500 0.750
6 Na 0.250 0.000 0.500
7 Au 0.750 0.500 0.000
8 Au 0.250 0.500 0.000
9 Au 0.500 0.000 0.750
10 Au 0.000 0.750 0.500
11 Au 0.500 0.000 0.250
12 Au 0.000 0.250 0.500
13 Cs 0.000 0.000 0.000
14 Cs 0.500 0.500 0.500

# 3
The following is a GGA-PBE calculation of a geometry-optimized TiFeSi2Br structure, from the Alexandria database.

Its space group is P4/mmm (123). For the uncorrected formation energy, the calculation gives 87.7 kJ/mol of atoms. The theoretical density comes out at 3.43 g/cm3.

Lattice parameters (Å, degrees): 4.879 4.878 4.879 90.00 90.00 90.00
Last column: magnetic moment on the atom in μB.
Positions (direct):
1 Ti 0.000 0.000 0.000  0.07
2 Fe 0.500 0.500 0.500  3.30
3 Si 0.000 0.000 0.500  -0.05
4 Si 0.500 0.000 0.000  -0.02
5 Br 0.000 0.500 0.000  -0.01

# 4
The following is a GGA-PBE calculation of a geometry-optimized CeGdIr structure, from the Alexandria database.

Its space group is P3m1 (156). As for the energy above the most stable polymorph in this dataset: 0.010 eV per atom. The energy of formation is -48.9 kJ/mol of atoms. The theoretical density comes out at 9.17 g/cm3.

Lattice parameters (Å, degrees): 6.171 4.072 4.072 120.00 90.00 90.00
Last column: magnetic moment on the atom in μB.
Positions (direct):
1 Ir 0.005 0.000 0.000  -0.06
2 Gd 0.753 0.667 0.333  7.13
3 Ce 0.242 0.333 0.667  0.75

# 5
The following is a GGA-PBE calculation of a geometry-optimized Nd3Tl2N structure, from the Alexandria database.

Its space group is C2/m (12). For the uncorrected formation energy, the calculation gives -65.5 kJ/mol of atoms. The theoretical density comes out at 9.15 g/cm3.

Lattice parameters (Å, degrees): 5.016 7.481 9.423 113.47 105.44 90.00
Positions (direct):
1 N 0.000 0.750 0.000
2 N 0.000 0.250 0.000
3 Tl 0.695 0.945 0.391
4 Tl 0.695 0.445 0.391
5 Tl 0.305 0.555 0.609
6 Tl 0.305 0.055 0.609
7 Nd 0.106 0.606 0.213
8 Nd 0.106 0.106 0.213
9 Nd 0.894 0.394 0.787
10 Nd 0.894 0.894 0.787
11 Nd 0.500 0.250 0.000
12 Nd 0.500 0.750 0.000

# 6
The following is a GGA-PBE calculation of a geometry-optimized BaIn4Br structure, from the Alexandria database.

Its space group is F-43m (216). For the uncorrected formation energy, the calculation gives -31.4 kJ/mol of atoms. The theoretical density comes out at 5.94 g/cm3.

Lattice parameters (Å, degrees): 6.442 6.442 6.442 60.00 60.00 60.00
Positions (direct):
1 Br 0.000 0.000 0.000
2 In 0.375 0.876 0.375
3 In 0.876 0.375 0.375
4 In 0.375 0.375 0.375
5 In 0.375 0.375 0.876
6 Ba 0.750 0.750 0.750